Record 1
KReAg2 | PBE-GGA | optimized geometry

## Properties
Space group: Immm, No. 71
Theoretical density (Mg/m³): 7.974
Total magnetic moment (μB per formula unit): 1.03
Fermi-level density of states (states/eV per cell): 3.79
DFT formation energy (meV per atom): 1053
Relative energy among the computed polymorphs (meV per atom): 290

Geometry as extended XYZ:
```
4
Lattice="-1.357 2.938 5.760 1.357 -2.938 5.760 1.357 2.938 -5.760" Properties=species:S:1:pos:R:3 pbc="T T T"
K 0.000 0.000 0.000
Re 0.000 0.000 5.760
Ag 1.357 0.000 3.327
Ag 0.000 2.938 2.433
```

***

Record 2
KRe2Ag | PBE-GGA | optimized geometry

## Properties
Space group: I-42d, No. 122
Theoretical density (Mg/m³): 10.065
Total magnetic moment (μB per formula unit): 0.00
Fermi-level density of states (states/eV per cell): 9.00
DFT formation energy (meV per atom): 1449
Relative energy among the computed polymorphs (meV per atom): 793

Geometry as extended XYZ:
```
8
Lattice="-1.980 1.980 10.929 1.980 -1.980 10.929 1.980 1.980 -10.929" Properties=species:S:1:pos:R:3 pbc="T T T"
K 0.000 0.000 0.000
K 0.000 1.980 5.465
Re 0.990 -0.685 8.197
Re 1.295 0.990 2.732
Re 0.990 2.664 -2.732
Re 0.685 0.990 13.661
Ag 1.980 0.000 5.465
Ag 0.000 0.000 10.929
```

***

Record 3
KReAg2 | PBE-GGA | optimized geometry

## Properties
Space group: Pmmm, No. 47
Theoretical density (Mg/m³): 8.673
Total magnetic moment (μB per formula unit): 1.51
Fermi-level density of states (states/eV per cell): 3.06
DFT formation energy (meV per atom): 1189
Relative energy among the computed polymorphs (meV per atom): 426

Geometry as extended XYZ:
```
4
Lattice="2.709 0.000 0.000 0.000 5.388 0.000 0.000 0.000 5.786" Properties=species:S:1:pos:R:3 pbc="T T T"
K 0.000 0.000 0.000
Re 1.354 0.000 2.893
Ag 0.000 2.694 2.893
Ag 1.354 2.694 0.000
```

***

Record 4
KReAg2 | PBE-GGA | optimized geometry

## Properties
Space group: I-4m2, No. 119
Theoretical density (Mg/m³): 8.495
Total magnetic moment (μB per formula unit): 3.33
Fermi-level density of states (states/eV per cell): 3.17
DFT formation energy (meV per atom): 1348
Relative energy among the computed polymorphs (meV per atom): 584

Geometry as extended XYZ:
```
4
Lattice="-2.136 2.136 4.723 2.136 -2.136 4.723 2.136 2.136 -4.723" Properties=species:S:1:pos:R:3 pbc="T T T"
K 0.000 0.000 0.000
Re 2.136 0.000 2.361
Ag 0.000 0.000 4.723
Ag 0.000 2.136 2.361
```

***

Record 5
KRe2Ag | PBE-GGA | optimized geometry

## Properties
Space group: Imm2, No. 44
Theoretical density (Mg/m³): 9.441
Total magnetic moment (μB per formula unit): 0.00
Fermi-level density of states (states/eV per cell): 1.49
DFT formation energy (meV per atom): 1219
Relative energy among the computed polymorphs (meV per atom): 563

Geometry as extended XYZ:
```
4
Lattice="-1.588 2.831 5.079 1.588 -2.831 5.079 1.588 2.831 -5.079" Properties=species:S:1:pos:R:3 pbc="T T T"
K 0.000 0.000 0.000
Re 1.588 0.000 3.105
Re 0.000 0.000 4.790
Ag 0.000 2.831 2.121
```

***

Record 6
KReAg | PBE-GGA | optimized geometry

## Properties
Space group: Imm2, No. 44
Theoretical density (Mg/m³): 7.530
Total magnetic moment (μB per formula unit): 0.72
Fermi-level density of states (states/eV per cell): 2.36
DFT formation energy (meV per atom): 1096
Relative energy among the computed polymorphs (meV per atom): 89

Geometry as extended XYZ:
```
3
Lattice="-1.332 2.286 6.033 1.332 -2.286 6.033 1.332 2.286 -6.033" Properties=species:S:1:pos:R:3 pbc="T T T"
K 0.000 0.000 0.000
Re 0.000 0.000 8.693
Ag 0.000 0.000 3.402
```